VASP calculation (PBE-GGA) on crystalline Mo3PbCN at its relaxed geometry.

Values from the calculation:
Symmetry: P-3m1, No. 164
M_tot in μB/f.u.: 0.003
E in eV per atom: -8.78

Cell: 3.233 3.233 18.444 Å, 90.00 90.00 120.00°
Fractional coordinates of all 12 atoms:
C1 0.667 0.333 0.930
C2 0.333 0.667 0.070
Mo1 0.000 0.000 0.500
Mo2 0.667 0.333 0.122
Mo3 0.333 0.667 0.616
Mo4 0.000 0.000 0.000
Mo5 0.333 0.667 0.878
Mo6 0.667 0.333 0.384
Pb1 0.000 0.000 0.253
Pb2 0.000 0.000 0.747
N1 0.667 0.333 0.565
N2 0.333 0.667 0.435